# Zn3CdSe4

Crystalline Zn3CdSe4 at its relaxed geometry (GGA-PBE, Alexandria).

**Volume**: 200.4 Å³/cell
**Formation energy without anion corrections**: -0.679 eV/atom

Cell and atoms, written as CIF:
```
data_Zn3CdSe4
_chemical_formula_sum 'Zn3 Cd1 Se4'
_symmetry_space_group_name_H-M 'P -4 3 m'
_symmetry_Int_Tables_number 215
_symmetry_space_group_name_Hall 'P -4 2 3'
_cell_length_a 5.8518
_cell_length_b 5.8518
_cell_length_c 5.8518
_cell_angle_alpha 90.00
_cell_angle_beta 90.00
_cell_angle_gamma 90.00
loop_
_atom_site_label
_atom_site_fract_x
_atom_site_fract_y
_atom_site_fract_z
Zn1 0.0000 0.0000 0.5000
Cd1 0.5000 0.5000 0.5000
Se1 0.2387 0.2387 0.7613
```

---

# CeTaO3

Crystalline CeTaO3 at its relaxed geometry (GGA-PBE, Alexandria).

**Volume**: 66.6 Å³/cell
**Formation energy without anion corrections**: -2.639 eV/atom

Cell and atoms, written as CIF:
```
data_CeTaO3
_chemical_formula_sum 'Ce1 Ta1 O3'
_symmetry_space_group_name_H-M 'P m -3 m'
_symmetry_Int_Tables_number 221
_symmetry_space_group_name_Hall '-P 4 2 3'
_cell_length_a 4.0535
_cell_length_b 4.0535
_cell_length_c 4.0535
_cell_angle_alpha 90.00
_cell_angle_beta 90.00
_cell_angle_gamma 90.00
loop_
_atom_site_label
_atom_site_fract_x
_atom_site_fract_y
_atom_site_fract_z
Ce1 0.0000 0.0000 0.0000
Ta1 0.5000 0.5000 0.5000
O1 0.0000 0.5000 0.5000
```

---

# NaLa2SnH

Crystalline NaLa2SnH at its relaxed geometry (GGA-PBE, Alexandria).

**Volume**: 123.2 Å³/cell
**Total energy**: -4.168 eV/atom

Cell and atoms, written as CIF:
```
data_NaLa2SnH
_chemical_formula_sum 'Na1 La2 Sn1 H1'
_symmetry_space_group_name_H-M 'P 4/m m m'
_symmetry_Int_Tables_number 123
_symmetry_space_group_name_Hall '-P 4 2'
_cell_length_a 5.1099
_cell_length_b 5.1099
_cell_length_c 4.7176
_cell_angle_alpha 90.00
_cell_angle_beta 90.00
_cell_angle_gamma 90.00
loop_
_atom_site_label
_atom_site_fract_x
_atom_site_fract_y
_atom_site_fract_z
Na1 0.0000 0.0000 0.0000
La1 0.0000 0.5000 0.5000
Sn1 0.5000 0.5000 0.0000
H1 0.0000 0.0000 0.5000
```

---

# LiCaW2

Crystalline LiCaW2 at its relaxed geometry (GGA-PBE, Alexandria).

**Volume**: 74.6 Å³/cell
**E_form**: 0.737 eV per atom
**Excess energy over the best structure of this formula in the dataset**: 0.220 eV per atom

Cell and atoms, written as CIF:
```
data_LiCaW2
_chemical_formula_sum 'Li1 Ca1 W2'
_symmetry_space_group_name_H-M 'P 4 m m'
_symmetry_Int_Tables_number 99
_cell_length_a 2.7254
_cell_length_b 2.7254
_cell_length_c 10.0411
_cell_angle_alpha 90.00
_cell_angle_beta 90.00
_cell_angle_gamma 90.00
loop_
_symmetry_equiv_pos_as_xyz
'x,y,z'
'-y,x,z'
'-x,-y,z'
'y,-x,z'
'-x,y,z'
'y,x,z'
'x,-y,z'
'-y,-x,z'
loop_
_atom_site_label
_atom_site_fract_x
_atom_site_fract_y
_atom_site_fract_z
Li1 0.0000 0.0000 0.0000
Ca1 0.5000 0.5000 0.7101
W1 0.0000 0.0000 0.4507
W2 0.5000 0.5000 0.2210
```

---

# Li3Zn8Cu3

Crystalline Li3Zn8Cu3 at its relaxed geometry (GGA-PBE, Alexandria).

**Volume**: 424.6 Å³/cell
**E_form**: -0.088 eV per atom

Cell and atoms, written as CIF:
```
data_Li3Zn8Cu3
_chemical_formula_sum 'Li6 Zn16 Cu6'
_symmetry_space_group_name_H-M 'I m m m'
_symmetry_Int_Tables_number 71
_symmetry_space_group_name_Hall '-I 2 2'
_cell_length_a 4.1887
_cell_length_b 9.6455
_cell_length_c 10.5089
_cell_angle_alpha 90.00
_cell_angle_beta 90.00
_cell_angle_gamma 90.00
loop_
_atom_site_label
_atom_site_fract_x
_atom_site_fract_y
_atom_site_fract_z
Li1 0.0000 0.0000 0.0000
Li2 0.0000 0.0000 0.2820
Zn1 0.0000 0.2838 0.1362
Zn2 0.0000 0.3705 0.3714
Cu1 0.0000 0.1415 0.5000
Cu2 0.0000 0.5000 0.0000
```

---

# MgUP2

Crystalline MgUP2 at its relaxed geometry (GGA-PBE, Alexandria).

**Volume**: 248.6 Å³/cell
**E_form**: -0.726 eV per atom
**Excess energy over the best structure of this formula in the dataset**: 0.000 eV per atom

Cell and atoms, written as CIF:
```
data_MgUP2
_chemical_formula_sum 'Mg3 U3 P6'
_symmetry_space_group_name_H-M 'R -3 m'
_symmetry_Int_Tables_number 166
_symmetry_space_group_name_Hall '-R 3 2"'
_cell_length_a 3.9533
_cell_length_b 3.9533
_cell_length_c 18.3707
_cell_angle_alpha 90.00
_cell_angle_beta 90.00
_cell_angle_gamma 120.00
loop_
_atom_site_label
_atom_site_fract_x
_atom_site_fract_y
_atom_site_fract_z
Mg1 0.0000 0.0000 0.0000
U1 0.0000 0.0000 0.5000
P1 0.0000 0.0000 0.2503
```

---

Number 1: density of states at the Fermi level 0.00 states/eV/cell. Number 2: density of states at the Fermi level 7.72 states/eV/cell. Number 3: density of states at the Fermi level 3.87 states/eV/cell. Number 4: density of states at the Fermi level 3.64 states/eV/cell. Number 5: density of states at the Fermi level 6.73 states/eV/cell. Number 6: density of states at the Fermi level 15.44 states/eV/cell.